Arrangement A

DFT (PBE) results for a relaxed EuDy2Ag crystal.

Summary:
The volume is 30.054 A^3/atom. The value obtained for the spin magnetization is 8.3 Bohr magnetons per cell.

a b c (Å): 3.6565 3.6565 8.9916
angles (deg): 90.00 90.00 90.00
With the nearest neighbours (Å) after each atom.
Fractional coordinates of all 4 atoms:
Dy  0.0000  0.0000  0.1972  4 Ag 3.14
Dy  0.0000  0.0000  0.8028  4 Ag 3.14
Ag  0.5000  0.5000  0.0000  8 Dy 3.14
Eu  0.5000  0.5000  0.5000  4 Eu 3.66, 8 Dy 3.75



Arrangement B

DFT (PBE) results for a relaxed EuDy2Ag crystal.

Summary:
The volume is 28.309 A^3/atom. The value obtained for the spin magnetization is 7.5 Bohr magnetons per cell.

a b c (Å): 4.0634 5.2789 5.2789
angles (deg): 90.00 90.00 90.00
With the nearest neighbours (Å) after each atom.
Fractional coordinates of all 4 atoms:
Dy  0.0000  0.5000  0.0000  4 Ag 3.33, 4 Eu 3.33
Dy  0.0000  0.0000  0.5000  4 Ag 3.33, 4 Eu 3.33
Ag  0.5000  0.0000  0.0000  8 Dy 3.33
Eu  0.5000  0.5000  0.5000  8 Dy 3.33



What should be chosen as the most stable of them? Choose arrangement A.



Arrangement A

DFT (PBE) results for a relaxed EuDyAg2 crystal.

Summary:
The volume is 25.535 A^3/atom. The value obtained for the spin magnetization is 7.1 Bohr magnetons per cell.

a b c (Å): 5.2469 5.2469 5.2469
angles (deg): 60.00 60.00 60.00
With the nearest neighbours (Å) after each atom.
Fractional coordinates of all 4 atoms:
Ag  0.7500  0.7500  0.7500  4 Eu 3.21, 4 Dy 3.21
Ag  0.2500  0.2500  0.2500  4 Dy 3.21, 4 Eu 3.21
Dy  0.5000  0.5000  0.5000  8 Ag 3.21
Eu  0.0000  0.0000  0.0000  8 Ag 3.21



Arrangement B

DFT (PBE) results for a relaxed EuDyAg2 crystal.

Summary:
The volume is 25.871 A^3/atom. The value obtained for the spin magnetization is 7.3 Bohr magnetons per cell.

a b c (Å): 3.7145 3.7145 7.5000
angles (deg): 90.00 90.00 90.00
With the nearest neighbours (Å) after each atom.
Fractional coordinates of all 4 atoms:
Eu  0.5000  0.5000  0.5000  8 Ag 3.37, 4 Eu 3.71, 2 Dy 3.75
Dy  0.5000  0.5000  0.0000  8 Ag 3.10
Ag  0.0000  0.0000  0.7808  4 Dy 3.10, 1 Ag 3.29, 4 Eu 3.37
Ag  0.0000  0.0000  0.2192  4 Dy 3.10, 1 Ag 3.29, 4 Eu 3.37



What should be chosen as the most stable of them? Choose arrangement B.



Arrangement A

DFT (PBE) results for a relaxed DyAgF4 crystal.

Summary:
The volume is 17.797 A^3/atom. The value obtained for the spin magnetization is 0.0 Bohr magnetons per cell.

a b c (Å): 6.5224 6.5224 6.5224
angles (deg): 109.91 109.91 108.60
With the nearest neighbours (Å) after each atom.
Fractional coordinates of all 12 atoms:
F  0.1634  0.9600  0.2034  2 Dy 2.24-2.25
F  0.2902  0.9893  0.6992  1 Dy 2.14, 1 Ag 2.27
F  0.7100  0.4134  0.7034  2 Dy 2.24-2.25
F  0.7567  0.9600  0.7966  2 Dy 2.24-2.25
F  0.7100  0.0067  0.2966  2 Dy 2.24-2.25
F  0.3410  0.5402  0.8008  1 Dy 2.14, 1 Ag 2.27
F  0.7393  0.5402  0.1992  1 Dy 2.14, 1 Ag 2.27
F  0.2902  0.5910  0.3008  1 Dy 2.14, 1 Ag 2.27
Ag  0.0077  0.5077  0.5000  2 F 2.27
Ag  0.2577  0.2577  0.0000  2 F 2.27
Dy  0.4919  0.9919  0.5000  6 F 2.14-2.25
Dy  0.7419  0.7419  0.0000  6 F 2.14-2.25



Arrangement B

DFT (PBE) results for a relaxed DyAgF4 crystal.

Summary:
The volume is 18.179 A^3/atom. The value obtained for the spin magnetization is 0.0 Bohr magnetons per cell.

a b c (Å): 3.5991 5.5085 5.5085
angles (deg): 92.85 90.00 90.00
With the nearest neighbours (Å) after each atom.
Fractional coordinates of all 6 atoms:
F  0.0000  0.7834  0.7834  1 Dy 2.15
F  0.5000  0.3330  0.6670  2 Dy 2.24
F  0.5000  0.6670  0.3330  2 Dy 2.24
F  0.0000  0.2166  0.2166  1 Dy 2.15
Dy  0.0000  0.5000  0.5000  6 F 2.15-2.24
Ag  0.5000  0.0000  0.0000  6 F 2.44-2.66



What should be chosen as the most stable of them? Choose arrangement A.



Arrangement A

DFT (PBE) results for a relaxed DyAg2F6 crystal.

Summary:
The volume is 16.345 A^3/atom. The value obtained for the spin magnetization is 1.1 Bohr magnetons per cell.

a b c (Å): 4.0136 6.4846 6.5840
angles (deg): 67.48 72.25 71.97
With the nearest neighbours (Å) after each atom.
Fractional coordinates of all 9 atoms:
F  0.6124  0.3122  0.4629  1 Ag 2.33, 2 Dy 2.37, 1 F 2.50
F  0.2031  0.4216  0.1722  1 Dy 2.26, 3 Ag 2.41-2.42
F  0.0240  0.1616  0.7903  2 Ag 2.25-2.28, 1 Dy 2.29
F  0.9760  0.8384  0.2097  2 Ag 2.25-2.28, 1 Dy 2.29
F  0.3876  0.6878  0.5371  1 Ag 2.33, 2 Dy 2.37, 1 F 2.50
F  0.7969  0.5784  0.8278  1 Dy 2.26, 3 Ag 2.41-2.42
Ag  0.1756  0.7796  0.8692  6 F 2.25-2.42
Ag  0.8244  0.2204  0.1308  6 F 2.25-2.42
Dy  0.0000  0.5000  0.5000  8 F 2.26-2.37



Arrangement B

DFT (PBE) results for a relaxed DyAg2F6 crystal.

Summary:
The volume is 14.487 A^3/atom. The value obtained for the spin magnetization is 1.1 Bohr magnetons per cell.

a b c (Å): 3.7740 5.5680 7.0574
angles (deg): 113.23 105.51 90.00
With the nearest neighbours (Å) after each atom.
Fractional coordinates of all 9 atoms:
F  0.1523  0.3999  0.3044  1 Dy 2.34, 2 Ag 2.36
F  0.8479  0.0956  0.6956  1 Dy 2.34, 2 Ag 2.36
F  0.5000  0.2250  0.0000  2 Dy 2.26, 1 F 2.51
F  0.1521  0.9044  0.3044  1 Dy 2.34, 2 Ag 2.36
F  0.5000  0.7750  0.0000  2 Dy 2.26, 1 F 2.51
F  0.8477  0.6001  0.6956  1 Dy 2.34, 2 Ag 2.36
Dy  0.0000  0.0000  0.0000  8 F 2.26-2.34
Ag  0.6679  0.6680  0.3360  8 F 2.36-2.62
Ag  0.3321  0.3320  0.6640  8 F 2.36-2.62



What should be chosen as the most stable of them? Choose arrangement B.



Arrangement A

DFT (PBE) results for a relaxed Dy5Ga2Ag crystal.

Summary:
The volume is 24.784 A^3/atom. The value obtained for the spin magnetization is 0.0 Bohr magnetons per cell.

a b c (Å): 6.8075 6.8077 6.4406
angles (deg): 121.91 121.91 89.99
With the nearest neighbours (Å) after each atom.
Fractional coordinates of all 8 atoms:
Ag  0.2218  0.2218  0.4436  8 Dy 3.22, 4 Ga 3.40
Dy  0.7222  0.7222  0.4445  8 Dy 3.22, 4 Ga 3.40
Dy  0.7221  0.2222  0.9442  2 Ag 3.22, 4 Ga 3.22, 6 Dy 3.22-3.40
Dy  0.7221  0.7221  0.9442  2 Ag 3.22, 4 Ga 3.22, 6 Dy 3.22-3.40
Dy  0.2222  0.2222  0.9442  2 Ag 3.22, 4 Ga 3.22, 6 Dy 3.22-3.40
Dy  0.2222  0.7221  0.9442  2 Ag 3.22, 4 Ga 3.22, 6 Dy 3.22-3.40
Ga  0.2223  0.7223  0.4445  10 Dy 3.22-3.40, 2 Ag 3.40
Ga  0.7223  0.2223  0.4445  10 Dy 3.22-3.40, 2 Ag 3.40



Arrangement B

DFT (PBE) results for a relaxed Dy5Ga2Ag crystal.

Summary:
The volume is 26.096 A^3/atom. The value obtained for the spin magnetization is 0.0 Bohr magnetons per cell.

a b c (Å): 7.5227 7.5227 9.0957
angles (deg): 114.43 114.43 90.00
With the nearest neighbours (Å) after each atom.
Fractional coordinates of all 16 atoms:
Ag  0.2500  0.2500  0.5000  8 Dy 3.19
Ag  0.7500  0.7500  0.5000  8 Dy 3.19
Dy  0.9771  0.4771  0.2924  3 Ga 3.09-3.10, 2 Ag 3.19
Dy  0.5000  0.5000  0.0000  4 Ga 2.99
Dy  0.4771  0.3152  0.2924  3 Ga 3.09-3.10, 2 Ag 3.19
Dy  0.0229  0.5229  0.7076  3 Ga 3.09-3.10, 2 Ag 3.19
Dy  0.6848  0.1848  0.7076  3 Ga 3.09-3.10, 2 Ag 3.19
Dy  0.3152  0.8152  0.2924  3 Ga 3.09-3.10, 2 Ag 3.19
Dy  0.5229  0.6848  0.7076  3 Ga 3.09-3.10, 2 Ag 3.19
Dy  0.8152  0.9771  0.2924  3 Ga 3.09-3.10, 2 Ag 3.19
Dy  0.1848  0.0229  0.7076  3 Ga 3.09-3.10, 2 Ag 3.19
Dy  0.0000  0.0000  0.0000  4 Ga 2.99
Ga  0.6219  0.1219  0.0000  1 Ga 2.59
Ga  0.8781  0.6219  0.0000  1 Ga 2.59
Ga  0.1219  0.3781  0.0000  1 Ga 2.59
Ga  0.3781  0.8781  0.0000  1 Ga 2.59



What should be chosen as the most stable of them? Choose arrangement B.



Arrangement A

DFT (PBE) results for a relaxed DyGa2Ag4 crystal.

Summary:
The volume is 19.314 A^3/atom. The value obtained for the spin magnetization is 0.0 Bohr magnetons per cell.

a b c (Å): 4.2691 7.9586 7.9586
angles (deg): 90.00 90.00 90.00
With the nearest neighbours (Å) after each atom.
Fractional coordinates of all 14 atoms:
Ag  0.0000  0.3452  0.0959  3 Ga 2.64-2.69, 2 Ag 2.81-2.90
Ag  0.5000  0.4041  0.8452  3 Ga 2.64-2.69, 2 Ag 2.81-2.90
Ag  0.0000  0.9041  0.6548  3 Ga 2.64-2.69, 2 Ag 2.81-2.90
Ag  0.0000  0.6548  0.9041  3 Ga 2.64-2.69, 2 Ag 2.81-2.90
Ag  0.0000  0.0959  0.3452  3 Ga 2.64-2.69, 2 Ag 2.81-2.90
Ag  0.5000  0.5959  0.1548  3 Ga 2.64-2.69, 2 Ag 2.81-2.90
Ag  0.5000  0.8452  0.4041  3 Ga 2.64-2.69, 2 Ag 2.81-2.90
Ag  0.5000  0.1548  0.5959  3 Ga 2.64-2.69, 2 Ag 2.81-2.90
Dy  0.0000  0.5000  0.5000  6 Ga 3.13-3.33, 4 Ag 3.44
Dy  0.5000  0.0000  0.0000  6 Ga 3.13-3.33, 4 Ag 3.44
Ga  0.5000  0.7037  0.7037  6 Ag 2.64-2.69
Ga  0.0000  0.2037  0.7963  6 Ag 2.64-2.69
Ga  0.0000  0.7963  0.2037  6 Ag 2.64-2.69
Ga  0.5000  0.2963  0.2963  6 Ag 2.64-2.69



Arrangement B

DFT (PBE) results for a relaxed DyGa2Ag4 crystal.

Summary:
The volume is 19.371 A^3/atom. The value obtained for the spin magnetization is 0.0 Bohr magnetons per cell.

a b c (Å): 4.1991 4.2191 7.9392
angles (deg): 105.41 90.00 90.00
With the nearest neighbours (Å) after each atom.
Fractional coordinates of all 7 atoms:
Ga  0.5000  0.4209  0.8418  1 Ga 2.42, 4 Ag 2.62-2.63
Ga  0.5000  0.5791  0.1582  1 Ga 2.42, 4 Ag 2.62-2.63
Ag  0.0000  0.3182  0.6364  2 Ga 2.62
Ag  0.0000  0.6818  0.3636  2 Ga 2.62
Ag  0.5000  0.8181  0.6362  2 Ga 2.63
Ag  0.5000  0.1819  0.3638  2 Ga 2.63
Dy  0.0000  0.0000  0.0000  8 Ga 3.21, 8 Ag 3.49



What should be chosen as the most stable of them? Choose arrangement B.